Entry 1:
A plane-wave DFT calculation with PBE-GGA was carried out for a relaxed BeCrIn crystal.

```
BeCrIn
1.0
-1.632 -3.378 -1.649
2.440 -2.964 -1.435
0.260 -3.579 1.981
Cr Be In
1 1 1
Cartesian
0.000 0.000 0.000 Cr
0.800 -7.441 -0.828 Be
0.534 -4.960 -0.552 In
```

Calculated values
**Total magnetization**: 1.006 μB/atom
**Energy of formation**: 0.40 eV per atom

***

Entry 2:
A plane-wave DFT calculation with PBE-GGA was carried out for a relaxed Be2CrIn crystal.

```
Be2CrIn
1.0
-2.092 1.054 -2.776
-2.057 -1.477 0.989
-1.648 4.185 2.831
Cr Be In
1 2 1
Cartesian
-1.972 1.204 -0.433 Cr
-1.656 -0.839 0.929 Be
-2.253 0.717 1.970 Be
-3.825 2.558 1.477 In
```

Calculated values
**Total magnetization**: 0.200 μB/atom
**Energy of formation**: 0.39 eV per atom

***

Entry 3:
A plane-wave DFT calculation with PBE-GGA was carried out for a relaxed BeCrIn3 crystal.

```
BeCrIn3
1.0
-3.936 2.522 1.401
-0.682 -3.116 3.693
2.803 2.783 2.866
Cr Be In
1 1 3
Cartesian
-0.907 1.094 3.980 Cr
0.000 0.000 0.000 Be
-0.341 -1.558 1.847 In
1.402 1.392 1.433 In
-1.968 1.261 0.701 In
```

Calculated values
**Total magnetization**: 0.898 μB/atom
**Energy of formation**: 0.64 eV per atom

***

Entry 4:
A plane-wave DFT calculation with PBE-GGA was carried out for a relaxed BeCr2In crystal.

```
BeCr2In
1.0
4.319 -0.010 -0.001
0.011 4.319 -0.001
-2.166 -2.155 3.052
Cr In Be
2 1 1
Cartesian
4.319 -0.010 -0.001 Cr
0.006 2.159 1.525 Cr
2.164 2.155 -0.001 In
2.159 -0.005 1.525 Be
```

Calculated values
**Total magnetization**: 0.043 μB/atom
**Energy of formation**: 0.38 eV per atom

***

Entry 5:
A plane-wave DFT calculation with PBE-GGA was carried out for a relaxed BeCr2In crystal.

```
BeCr2In
1.0
-1.384 -3.181 1.755
1.317 -1.543 -1.760
4.503 -0.481 2.680
Cr Be In
2 1 1
Cartesian
4.480 -0.513 2.602 Cr
0.457 -1.990 1.059 Cr
3.852 -3.013 1.881 Be
3.060 -1.181 0.272 In
```

Calculated values
**Total magnetization**: 0.000 μB/atom
**Energy of formation**: 0.36 eV per atom

***

Entry 6:
A plane-wave DFT calculation with PBE-GGA was carried out for a relaxed BeCr2In crystal.

```
BeCr2In
1.0
4.325 0.011 0.000
-0.010 4.325 0.000
0.000 0.000 3.229
Cr Be In
2 1 1
Cartesian
0.000 0.000 0.000 Cr
2.158 2.168 0.000 Cr
-0.005 2.162 1.615 Be
2.162 0.006 1.615 In
```

Calculated values
**Total magnetization**: 1.551 μB/atom
**Energy of formation**: 0.53 eV per atom

***

Entry 7:
A plane-wave DFT calculation with PBE-GGA was carried out for a relaxed BeCr2In crystal.

```
BeCr2In
1.0
2.997 0.000 0.000
0.000 2.997 0.000
0.000 0.000 6.060
Cr Be In
2 1 1
Cartesian
0.000 0.000 0.002 Cr
1.499 1.499 1.144 Cr
1.499 1.499 4.851 Be
0.000 0.000 3.092 In
```

Calculated values
**Total magnetization**: 0.067 μB/atom
**Energy of formation**: 0.23 eV per atom

***

Entry 8:
A plane-wave DFT calculation with PBE-GGA was carried out for a relaxed Be2CrIn crystal.

```
Be2CrIn
1.0
-2.497 -1.539 3.737
-4.122 -1.830 1.493
0.372 -4.184 0.274
Cr Be In
1 2 1
Cartesian
-2.976 -3.953 2.668 Cr
-0.153 -0.101 0.124 Be
-4.611 -5.502 4.053 Be
-1.630 -1.773 1.411 In
```

Calculated values
**Total magnetization**: 0.000 μB/atom
**Energy of formation**: 0.45 eV per atom

***

Entry 9:
A plane-wave DFT calculation with PBE-GGA was carried out for a relaxed BeCr2In crystal.

```
BeCr2In
1.0
-1.555 -2.227 0.263
2.368 -0.494 -1.263
3.494 -1.592 7.173
Cr Be In
2 1 1
Cartesian
3.492 -1.591 7.168 Cr
1.149 -1.699 1.025 Cr
3.143 -2.607 5.119 Be
1.763 -0.803 3.620 In
```

Calculated values
**Total magnetization**: 0.000 μB/atom
**Energy of formation**: 0.52 eV per atom

***

Entry 10:
A plane-wave DFT calculation with PBE-GGA was carried out for a relaxed Be2CrIn crystal.

```
Be2CrIn
1.0
4.832 -0.029 -0.091
-2.282 4.323 0.040
0.269 0.815 2.516
Cr Be In
1 2 1
Cartesian
-1.007 2.569 1.278 Cr
0.000 0.000 0.000 Be
2.550 0.393 1.212 Be
1.275 2.147 -0.025 In
```

Calculated values
**Total magnetization**: 0.123 μB/atom
**Energy of formation**: 0.58 eV per atom

***

Entry 11:
A plane-wave DFT calculation with PBE-GGA was carried out for a relaxed Be2CrIn crystal.

```
Be2CrIn
1.0
8.367 -0.030 -0.017
7.912 2.721 -0.017
7.912 1.308 2.386
Cr Be In
1 2 1
Cartesian
6.048 1.000 0.588 Cr
23.969 3.963 2.330 Be
12.317 2.036 1.197 Be
18.143 3.000 1.763 In
```

Calculated values
**Total magnetization**: 0.000 μB/atom
**Energy of formation**: 0.69 eV per atom

***

Entry 12:
A plane-wave DFT calculation with PBE-GGA was carried out for a relaxed BeCrIn3 crystal.

```
BeCrIn3
1.0
-4.148 -1.635 -2.648
2.871 -0.304 -4.309
1.203 -4.912 1.148
Cr Be In
1 1 3
Cartesian
0.000 0.000 0.000 Cr
-0.037 -3.426 -2.904 Be
1.435 -0.152 -2.154 In
0.602 -2.456 0.574 In
-2.074 -0.818 -1.324 In
```

Calculated values
**Total magnetization**: 0.585 μB/atom
**Energy of formation**: 0.94 eV per atom

***

Entry 13:
A plane-wave DFT calculation with PBE-GGA was carried out for a relaxed Be2CrIn crystal.

```
Be2CrIn
1.0
2.878 0.000 0.000
0.000 2.878 0.000
0.000 0.000 6.337
Cr Be In
1 2 1
Cartesian
0.000 0.000 2.786 Cr
0.000 0.000 0.438 Be
1.439 1.439 1.465 Be
1.439 1.439 4.816 In
```

Calculated values
**Total magnetization**: 0.523 μB/atom
**Energy of formation**: 0.40 eV per atom

***

Entry 14:
A plane-wave DFT calculation with PBE-GGA was carried out for a relaxed Be3CrIn crystal.

```
Be3CrIn
1.0
4.182 0.000 0.000
0.000 4.182 0.000
0.000 0.000 4.182
Cr Be In
1 3 1
Cartesian
0.000 0.000 0.000 Cr
0.000 2.091 0.000 Be
0.000 0.000 2.091 Be
2.091 0.000 0.000 Be
2.091 2.091 2.091 In
```

Calculated values
**Total magnetization**: 0.000 μB/atom
**Energy of formation**: 1.10 eV per atom

***

Entry 15:
A plane-wave DFT calculation with PBE-GGA was carried out for a relaxed Be2CrIn crystal.

```
Be2CrIn
1.0
3.758 0.000 0.000
0.000 3.068 0.004
0.000 1.539 4.628
Cr Be In
1 2 1
Cartesian
0.000 2.108 1.967 Cr
0.000 0.579 0.066 Be
1.879 0.573 1.208 Be
1.879 3.650 3.707 In
```

Calculated values
**Total magnetization**: 0.738 μB/atom
**Energy of formation**: 0.37 eV per atom

***

Entry 16:
A plane-wave DFT calculation with PBE-GGA was carried out for a relaxed BeCr2In crystal.

```
BeCr2In
1.0
4.908 0.003 -0.009
-2.362 4.302 -0.009
0.317 0.537 2.553
Cr Be In
2 1 1
Cartesian
0.000 0.000 0.000 Cr
1.273 2.152 -0.009 Cr
-1.022 2.419 1.272 Be
2.613 0.270 1.272 In
```

Calculated values
**Total magnetization**: 0.196 μB/atom
**Energy of formation**: 0.56 eV per atom

***

Entry 17:
A plane-wave DFT calculation with PBE-GGA was carried out for a relaxed BeCr2In crystal.

```
BeCr2In
1.0
-1.704 -2.923 1.068
2.817 -0.932 1.944
-2.845 2.662 8.638
Cr Be In
4 2 2
Cartesian
-0.666 0.023 2.595 Cr
0.079 -1.583 3.983 Cr
-0.463 0.137 8.473 Cr
-2.413 -0.961 8.249 Cr
0.557 -1.927 1.506 Be
0.265 -0.099 6.044 Be
0.000 0.000 0.000 In
-1.996 -1.094 5.606 In
```

Calculated values
**Total magnetization**: 0.000 μB/atom
**Energy of formation**: 0.79 eV per atom

***

Entry 18:
A plane-wave DFT calculation with PBE-GGA was carried out for a relaxed BeCr2In crystal.

```
BeCr2In
1.0
-1.609 1.166 -4.497
-0.834 -3.657 -3.178
-1.191 1.678 4.465
Cr Be In
2 1 1
Cartesian
-0.029 -0.030 -0.091 Cr
-1.193 -1.216 -3.746 Cr
-1.623 -1.613 -1.275 Be
-2.011 0.799 -1.935 In
```

Calculated values
**Total magnetization**: 0.142 μB/atom
**Energy of formation**: 0.41 eV per atom

***

Entry 19:
A plane-wave DFT calculation with PBE-GGA was carried out for a relaxed BeCr2In crystal.

```
BeCr2In
1.0
-0.636 0.864 2.851
-2.975 -0.334 -0.564
0.290 -5.515 1.737
Cr Be In
2 1 1
Cartesian
0.268 -5.093 1.604 Cr
0.167 -3.180 1.001 Cr
-1.588 -3.871 2.446 Be
-1.733 -1.114 1.578 In
```

Calculated values
**Total magnetization**: 0.000 μB/atom
**Energy of formation**: 0.27 eV per atom

***

Entry 20:
A plane-wave DFT calculation with PBE-GGA was carried out for a relaxed BeCr2In crystal.

```
BeCr2In
1.0
-6.905 -2.944 3.529
-4.948 -4.697 4.716
-5.458 -2.108 5.879
Cr Be In
2 1 1
Cartesian
-17.240 -9.709 14.066 Cr
-4.595 -2.587 3.749 Cr
-12.823 -7.221 10.462 Be
-8.620 -4.855 7.033 In
```

Calculated values
**Total magnetization**: 0.080 μB/atom
**Energy of formation**: 0.58 eV per atom